A relaxed structure of Co3Hg5, computed with GGA-PBE.

## Properties
Its formation energy is 333 meV/atom. The energy above the most stable polymorph in this dataset is 0.0000 eV per atom. The value obtained for the theoretical density is 12862 kg/m3. Its space-group type is P-1 (2).

abc: 9.6694 8.6264 7.1734
angles: 95.81 110.74 137.98
Positions (direct):
Co: 0.1942 0.2556 0.6216
Co: 0.3574 0.2743 0.9668
Co: 0.2851 0.7857 0.2867
Co: 0.7158 0.2152 0.7142
Co: 0.6434 0.7266 0.0340
Co: 0.8067 0.7453 0.3793
Hg: 0.1219 0.7724 0.8743
Hg: 0.2241 0.2266 0.2621
Hg: 0.3839 0.7022 0.6344
Hg: 0.1939 0.4753 0.9292
Hg: 0.2861 0.0124 0.5873
Hg: 0.7147 0.9884 0.4136
Hg: 0.8070 0.5256 0.0717
Hg: 0.6169 0.2987 0.3664
Hg: 0.7765 0.7740 0.7386
Hg: 0.8790 0.2284 0.1266

---

A relaxed structure of Li3Al4Au2, computed with GGA-PBE.

## Properties
Its formation energy is -416 meV/atom. The value obtained for the theoretical density is 5740 kg/m3. Its space-group type is P-1 (2).

abc: 4.3572 5.2600 8.1021
angles: 64.54 74.18 65.18
Positions (direct):
Li: 0.5361 0.2522 0.6751
Li: 0.0000 0.0000 0.0000
Li: 0.4639 0.7478 0.3249
Al: 0.3216 0.3016 0.0560
Al: 0.8497 0.7426 0.5588
Al: 0.1503 0.2574 0.4412
Al: 0.6784 0.6984 0.9440
Au: 0.7552 0.2311 0.2594
Au: 0.2448 0.7689 0.7406

---

A relaxed structure of TaNi2Te, computed with GGA-PBE.

## Properties
The value obtained for the theoretical density is 11300 kg/m3. The calculation puts the energy relative to the elements, uncorrected at 4.997 kcal/mol of atoms. Its space-group type is F-43m (216).

abc: 4.4566 4.4566 4.4566
angles: 60.00 60.00 60.00
Positions (direct):
Ni: 0.0000 0.0000 0.0000
Ni: 0.2500 0.2500 0.2500
Ta: 0.5000 0.5000 0.5000
Te: 0.7500 0.7500 0.7500

---

A relaxed structure of SrGaRh2, computed with GGA-PBE.

## Properties
Its formation energy is -162 meV/atom. The value obtained for the theoretical density is 6196 kg/m3. Its space-group type is I-42d (122).

abc: 4.8092 4.8092 9.0775
angles: 74.64 74.64 90.00
Positions (direct):
Sr: 0.0000 0.0000 0.0000
Sr: 0.7500 0.2500 0.5000
Rh: 0.4576 0.1250 0.2500
Rh: 0.2924 0.6250 0.2500
Rh: 0.3750 0.5424 0.7500
Rh: 0.8750 0.7076 0.7500
Ga: 0.5000 0.5000 0.0000
Ga: 0.2500 0.7500 0.5000

---

A relaxed structure of Sc2TiAlN, computed with GGA-PBE.

## Properties
The value obtained for the theoretical density is 3682 kg/m3. The calculation puts the energy relative to the elements, uncorrected at -23.293 kcal/mol of atoms. Its space-group type is P4/mmm (123).

abc: 4.4012 4.4012 4.1624
angles: 90.00 90.00 90.00
Positions (direct):
Sc: 0.0000 0.5000 0.0000
Sc: 0.5000 0.0000 0.0000
N: 0.0000 0.0000 0.0000
Al: 0.5000 0.5000 0.5000
Ti: 0.0000 0.0000 0.5000

---

A relaxed structure of PuNi2Rh2, computed with GGA-PBE.

## Properties
Its formation energy is -100 meV/atom. The value obtained for the theoretical density is 11592 kg/m3. Its space-group type is I4/mmm (139).

abc: 3.8225 3.8225 11.4444
angles: 99.61 99.61 90.00
Positions (direct):
Pu: 0.6234 0.6234 0.2467
Pu: 0.3766 0.3766 0.7533
Ni: 0.0000 0.5000 0.0000
Ni: 0.1783 0.1783 0.3565
Ni: 0.5000 0.0000 0.0000
Ni: 0.8217 0.8217 0.6435
Rh: 0.7500 0.2500 0.5000
Rh: 0.9277 0.9277 0.8554
Rh: 0.0723 0.0723 0.1446
Rh: 0.2500 0.7500 0.5000

---

A relaxed structure of Li2CeZn2In2, computed with GGA-PBE.

## Properties
Its formation energy is -304 meV/atom. The value obtained for the theoretical density is 6046 kg/m3. Its space-group type is C2/m (12).

abc: 4.6954 4.7015 7.8603
angles: 107.22 90.00 119.96
Positions (direct):
Li: 0.1489 0.2978 0.4472
Li: 0.8511 0.7022 0.5528
Ce: 0.0000 0.0000 0.0000
Zn: 0.7308 0.4617 0.1941
Zn: 0.2692 0.5383 0.8059
In: 0.5747 0.1493 0.7219
In: 0.4253 0.8507 0.2781

---

A relaxed structure of AlCd4Au, computed with GGA-PBE.

## Properties
Its formation energy is 201 meV/atom. The value obtained for the theoretical density is 8502 kg/m3. Its space-group type is F-43m (216).

abc: 5.7089 5.7089 5.7089
angles: 60.00 60.00 60.00
Positions (direct):
Al: 0.7500 0.7500 0.7500
Cd: 0.8756 0.3748 0.3748
Cd: 0.3748 0.3748 0.8756
Cd: 0.3748 0.8756 0.3748
Cd: 0.3748 0.3748 0.3748
Au: 0.0000 0.0000 0.0000

---

A relaxed structure of SrCa2Cl, computed with GGA-PBE.

## Properties
The energy above the most stable polymorph in this dataset is 0.5260 eV per atom. The value obtained for the theoretical density is 2000 kg/m3. The calculation puts the energy relative to the elements, uncorrected at -6.120 kcal/mol of atoms. Its space-group type is F-43m (216).

abc: 6.2030 6.2030 6.2030
angles: 60.00 60.00 60.00
Positions (direct):
Sr: 0.7500 0.7500 0.7500
Ca: 0.0000 0.0000 0.0000
Ca: 0.2500 0.2500 0.2500
Cl: 0.5000 0.5000 0.5000

---

A relaxed structure of CdCu3B, computed with GGA-PBE.

## Properties
Its formation energy is 189 meV/atom. The energy above the most stable polymorph in this dataset is 0.0000 eV per atom. The value obtained for the theoretical density is 7930 kg/m3. Its space-group type is Pm-3m (221).

abc: 4.0356 4.0356 4.0356
angles: 90.00 90.00 90.00
Positions (direct):
B: 0.0000 0.0000 0.0000
Cu: 0.0000 0.5000 0.0000
Cu: 0.0000 0.0000 0.5000
Cu: 0.5000 0.0000 0.0000
Cd: 0.5000 0.5000 0.5000

---

A relaxed structure of CsTcGe3, computed with GGA-PBE.

## Properties
Its formation energy is 2529 meV/atom. The energy above the most stable polymorph in this dataset is 2.3694 eV per atom. The value obtained for the theoretical density is 4331 kg/m3. Its space-group type is Pm-3m (221).

abc: 5.5621 5.5621 5.5621
angles: 90.00 90.00 90.00
Positions (direct):
Cs: 0.0000 0.0000 0.0000
Ge: 0.0000 0.5000 0.0000
Ge: 0.0000 0.0000 0.5000
Ge: 0.5000 0.0000 0.0000
Tc: 0.5000 0.5000 0.5000

---

A relaxed structure of Bi7Pd5Au, computed with GGA-PBE.

## Properties
Its formation energy is -142 meV/atom. The value obtained for the theoretical density is 11714 kg/m3. Its space-group type is Imm2 (44).

abc: 6.0721 7.7760 7.7760
angles: 78.58 67.02 67.02
Positions (direct):
Bi: 0.6507 0.3493 0.3493
Bi: 0.2152 0.7848 0.7848
Bi: 0.9932 0.3218 0.6918
Bi: 0.9932 0.6918 0.3218
Bi: 0.2724 0.2276 0.2276
Bi: 0.5442 0.7834 0.1283
Bi: 0.5442 0.1283 0.7834
Pd: 0.5215 0.9865 0.4733
Pd: 0.0187 0.9865 0.4733
Pd: 0.5215 0.4733 0.9865
Pd: 0.0187 0.4733 0.9865
Pd: 0.7738 0.7262 0.7262
Au: 0.9328 0.0672 0.0672

---

A relaxed structure of Ho4Mn, computed with GGA-PBE.

## Properties
Its formation energy is 551 meV/atom. The energy above the most stable polymorph in this dataset is 0.3112 eV per atom. The value obtained for the theoretical density is 8184 kg/m3. Its space-group type is Fd-3m (227).

abc: 7.4299 7.4299 7.4299
angles: 60.00 60.00 60.00
Positions (direct):
Ho: 0.8879 0.8879 0.8879
Ho: 0.3363 0.8879 0.8879
Ho: 0.8879 0.8879 0.3363
Ho: 0.9137 0.3621 0.3621
Ho: 0.3621 0.3621 0.3621
Ho: 0.8879 0.3363 0.8879
Ho: 0.3621 0.3621 0.9137
Ho: 0.3621 0.9137 0.3621
Mn: 0.5000 0.5000 0.5000
Mn: 0.7500 0.7500 0.7500